Density functional theory data (PBE) for a relaxed Ho3Tm2Ag3 crystal.

Cell: 3.6221 5.2258 21.4006 Å, 90.00 90.00 90.00°
Last column: nearest neighbours and their distance in Å.
Sites, in units of the cell vectors:
Ho1 0.0000 0.0000 0.0000  8 Ag 3.11-3.18
Ho2 0.0000 0.5000 0.1212  6 Ag 3.16-3.18, 2 Tm 3.52
Ho3 0.0000 0.5000 0.8788  6 Ag 3.16-3.18, 2 Tm 3.52
Ho4 0.5000 0.0000 0.3788  6 Ag 3.16-3.18, 2 Tm 3.52
Ho5 0.5000 0.0000 0.6212  6 Ag 3.16-3.18, 2 Tm 3.52
Ho6 0.5000 0.5000 0.5000  8 Ag 3.11-3.18
Tm1 0.0000 0.0000 0.2315  2 Ag 3.03, 4 Tm 3.28
Tm2 0.0000 0.0000 0.7685  2 Ag 3.03, 4 Tm 3.28
Tm3 0.5000 0.5000 0.2685  2 Ag 3.03, 4 Tm 3.28
Tm4 0.5000 0.5000 0.7315  2 Ag 3.03, 4 Tm 3.28
Ag1 0.0000 0.0000 0.5000  8 Ho 3.16-3.18
Ag2 0.0000 0.5000 0.3821  2 Tm 3.03, 6 Ho 3.11-3.18
Ag3 0.0000 0.5000 0.6179  2 Tm 3.03, 6 Ho 3.11-3.18
Ag4 0.5000 0.0000 0.1179  2 Tm 3.03, 6 Ho 3.11-3.18
Ag5 0.5000 0.0000 0.8821  2 Tm 3.03, 6 Ho 3.11-3.18
Ag6 0.5000 0.5000 0.0000  8 Ho 3.16-3.18

Values from the calculation:
- Electronic total energy: -66.14 eV per cell
- Calculated volume: 25.3 Å³ per atom
- DFT formation energy: -22.2 kJ per mole of atoms